[1]
A relaxed structure of Pm2ZnCuPd6, computed with PBE-GGA.

Cell lengths 6.6196, 6.6196, 6.6196 Å; angles 60.00, 60.00, 60.00 degrees
Atoms (fractional coordinates):
Pm: 0.2500 0.2500 0.2500
Pm: 0.7500 0.7500 0.7500
Zn: 0.0000 0.0000 0.0000
Cu: 0.5000 0.5000 0.5000
Pd: 0.2499 0.2499 0.7501
Pd: 0.2499 0.7501 0.2499
Pd: 0.2499 0.7501 0.7501
Pd: 0.7501 0.2499 0.2499
Pd: 0.7501 0.2499 0.7501
Pd: 0.7501 0.7501 0.2499

Calculated values
Its space group is No. 225. As for the total energy: -48.3 eV/cell. The formation energy comes out at -0.23 eV per atom. The value obtained for the density of states at the Fermi level is 6.5 states/eV per cell.

=====

[2]
A relaxed structure of PmZrCuPd, computed with PBE-GGA.

Cell lengths 4.8852, 4.8852, 4.8852 Å; angles 60.00, 60.00, 60.00 degrees
Atoms (fractional coordinates):
Pm: 0.0000 0.0000 0.0000
Zr: 0.5000 0.5000 0.5000
Cu: 0.7500 0.7500 0.7500
Pd: 0.2500 0.2500 0.2500

Calculated values
Its space group is No. 216. As for the total energy: -23.8 eV/cell. The formation energy comes out at -0.30 eV per atom. The value obtained for the density of states at the Fermi level is 4.3 states/eV per cell.

=====

[3]
A relaxed structure of Pr3Cu9Pd2, computed with PBE-GGA.

Cell lengths 8.0738, 8.0738, 8.0738 Å; angles 149.33, 113.20, 75.28 degrees
Atoms (fractional coordinates):
Pr: 0.0000 0.0000 0.0000
Pr: 0.3066 0.3066 0.0000
Pr: 0.6934 0.6934 0.0000
Cu: 0.0315 0.6769 0.3547
Cu: 0.1532 0.8755 0.2778
Cu: 0.3222 0.6769 0.6453
Cu: 0.4023 0.1245 0.2778
Cu: 0.5000 0.0000 0.5000
Cu: 0.5977 0.8755 0.7222
Cu: 0.6778 0.3231 0.3547
Cu: 0.8468 0.1245 0.7222
Cu: 0.9685 0.3231 0.6453
Pd: 0.2974 0.5000 0.7974
Pd: 0.7026 0.5000 0.2026

Calculated values
Its space group is No. 71. As for the total energy: -65.3 eV/cell. The formation energy comes out at -0.26 eV per atom. The value obtained for the density of states at the Fermi level is 6.3 states/eV per cell.